# 1
# FeNi2B (GGA-PBE, optimized geometry)
# E_form in eV/atom: 0.4058
# Mass density in g/cm³: 7.3
# Spin magnetization in μB per formula unit: 3.0
# Total DFT energy (no corrections) in eV/atom: -6.270
data_FeNi2B
_space_group_name_H-M_alt 'I -4 2 d'
_space_group_IT_number 122
_space_group_name_Hall 'I -4 2bw'
_cell_length_a 3.260
_cell_length_b 3.260
_cell_length_c 15.756
_cell_angle_alpha 90.00
_cell_angle_beta 90.00
_cell_angle_gamma 90.00
loop_
_atom_site_label
_atom_site_type_symbol
_atom_site_fract_x
_atom_site_fract_y
_atom_site_fract_z
Fe1 Fe 0.000 0.000 0.000
Ni1 Ni 0.231 0.250 0.625
B1 B 0.000 0.000 0.500

***

# 2
# FeNi2B2 (GGA-PBE, optimized geometry)
# E_form in eV/atom: -0.0741
# Mass density in g/cm³: 7.7
# Spin magnetization in μB per formula unit: 0.0
# Total DFT energy (no corrections) in eV/atom: -6.750
data_FeNi2B2
_space_group_name_H-M_alt 'P 4/m b m'
_space_group_IT_number 127
_space_group_name_Hall '-P 4 2ab'
_cell_length_a 5.613
_cell_length_b 5.613
_cell_length_c 2.684
_cell_angle_alpha 90.00
_cell_angle_beta 90.00
_cell_angle_gamma 90.00
loop_
_atom_site_label
_atom_site_type_symbol
_atom_site_fract_x
_atom_site_fract_y
_atom_site_fract_z
Fe1 Fe 0.000 0.000 0.000
Ni1 Ni 0.166 0.334 0.500
B1 B 0.127 0.627 0.000

***

> What is the total DFT energy (no corrections) in the second record?

-6.750 eV/atom